La2Pr4Tl3Cl2 after structural relaxation. Source: Alexandria, functional PBE.

Lattice parameters (Å, degrees): 5.523 5.523 12.471 102.79 102.79 90.00
Atoms (fractional coordinates):
La1 0.297 0.297 0.594
La2 0.703 0.703 0.406
Pr1 0.414 0.914 0.829
Pr2 0.914 0.414 0.829
Pr3 0.086 0.586 0.171
Pr4 0.586 0.086 0.171
Tl1 0.000 0.000 0.000
Tl2 0.161 0.161 0.322
Tl3 0.839 0.839 0.678
Cl1 0.425 0.425 0.850
Cl2 0.575 0.575 0.150

theoretical density = 7.0 g/cm3
total moment = 0.004 μB per cell
crystal system = tetragonal
formation energy from raw total energies = -645 meV per atom
density of states at the Fermi level = 9.99 states/eV/cell


LiDy6Te8 after structural relaxation. Source: Alexandria, functional PBE.

Lattice parameters (Å, degrees): 8.674 8.674 8.674 60.00 60.00 60.00
Atoms (fractional coordinates):
Li1 0.000 0.000 0.000
Dy1 0.000 0.500 0.500
Dy2 0.500 0.000 0.000
Dy3 0.500 0.500 0.000
Dy4 0.000 0.000 0.500
Dy5 0.000 0.500 0.000
Dy6 0.500 0.000 0.500
Te1 0.750 0.750 0.750
Te2 0.250 0.250 0.250
Te3 0.751 0.249 0.249
Te4 0.249 0.751 0.751
Te5 0.249 0.249 0.751
Te6 0.751 0.751 0.249
Te7 0.751 0.249 0.751
Te8 0.249 0.751 0.249

theoretical density = 7.2 g/cm3
total moment = 0.000 μB per cell
crystal system = cubic
formation energy from raw total energies = -1325 meV per atom
density of states at the Fermi level = 4.33 states/eV/cell